[1]
The following is a PBEsol calculation of Hf3AsF after structural relaxation, from the Alexandria database.

The structure in POSCAR format:
```
Hf3AsF
1.0
4.3964 0.0000 0.0000
0.0000 4.3964 0.0000
0.0000 0.0000 4.3964
Hf As F
3 1 1
Cartesian
0.0000 0.0000 2.1982 Hf
0.0000 2.1982 0.0000 Hf
2.1982 0.0000 0.0000 Hf
2.1982 2.1982 2.1982 As
0.0000 0.0000 0.0000 F
```

SG: Pm-3m
VASP energy in eV per atom: -8.1794



[2]
The following is a PBEsol calculation of InFeCo after structural relaxation, from the Alexandria database.

The structure in POSCAR format:
```
InFeCo
1.0
2.8898 0.0000 0.0000
-1.4449 2.5026 0.0000
0.0000 0.0000 6.0538
In Fe Co
1 1 1
Cartesian
0.0000 0.0000 0.0000 In
1.4449 0.8342 2.2546 Fe
0.0000 1.6684 3.8777 Co
```

SG: P3m1
Distance to the lowest polymorph of the same formula in meV per atom: 247
DFT formation energy in kcal/mol of atoms: 8.8



[3]
The following is a PBEsol calculation of Ga2BTe after structural relaxation, from the Alexandria database.

The structure in POSCAR format:
```
Ga2BTe
1.0
6.6068 0.0000 0.0000
0.0000 6.6068 0.0000
0.0000 0.0000 6.6068
Ga B Te
8 4 4
Cartesian
1.6517 1.6517 1.6517 Ga
1.6517 1.6517 4.9551 Ga
1.6517 4.9551 1.6517 Ga
1.6517 4.9551 4.9551 Ga
4.9551 1.6517 1.6517 Ga
4.9551 1.6517 4.9551 Ga
4.9551 4.9551 1.6517 Ga
4.9551 4.9551 4.9551 Ga
0.0000 0.0000 0.0000 B
0.0000 3.3034 3.3034 B
3.3034 0.0000 3.3034 B
3.3034 3.3034 0.0000 B
0.0000 0.0000 3.3034 Te
0.0000 3.3034 0.0000 Te
3.3034 0.0000 0.0000 Te
3.3034 3.3034 3.3034 Te
```

SG: Fm-3m
VASP energy in eV per atom: -3.3680